# 1
First-principles (GGA-PBE) data for a relaxed structure of CaGaBi, as listed in Alexandria.

a = 3.866 Å, b = 5.456 Å, c = 8.335 Å
α = 99.93°, β = 103.41°, γ = 90.00°
Fractional positions:
1 Ca 0.418 0.218 0.837
2 Ca 0.582 0.782 0.163
3 Ga 0.250 0.809 0.499
4 Ga 0.750 0.191 0.501
5 Bi 0.107 0.298 0.214
6 Bi 0.893 0.702 0.786

Summary:
DFT formation energy ... -379.2 meV/atom
DOS(E_F) ... 2.6 states/eV/cell
Symmetry ... No. 12

# 2
First-principles (GGA-PBE) data for a relaxed structure of Ca5Ga2Bi, as listed in Alexandria.

a = 8.142 Å, b = 8.142 Å, c = 9.339 Å
α = 115.84°, β = 115.84°, γ = 90.00°
Fractional positions:
1 Ca 0.810 0.964 0.274
2 Ca 0.964 0.464 0.274
3 Ca 0.464 0.310 0.274
4 Ca 0.036 0.536 0.726
5 Ca 0.190 0.036 0.726
6 Ca 0.690 0.190 0.726
7 Ca 0.536 0.690 0.726
8 Ca 0.000 0.000 0.000
9 Ca 0.310 0.810 0.274
10 Ca 0.500 0.500 0.000
11 Bi 0.250 0.250 0.500
12 Bi 0.750 0.750 0.500
13 Ga 0.885 0.615 0.000
14 Ga 0.615 0.115 0.000
15 Ga 0.115 0.385 0.000
16 Ga 0.385 0.885 0.000

Summary:
DFT formation energy ... -545.9 meV/atom
DOS(E_F) ... 15.0 states/eV/cell
Symmetry ... No. 140

# 3
First-principles (GGA-PBE) data for a relaxed structure of Ca3Ga2Bi4, as listed in Alexandria.

a = 7.405 Å, b = 9.022 Å, c = 9.022 Å
α = 76.80°, β = 92.17°, γ = 92.17°
Fractional positions:
1 Bi 0.573 0.462 0.257
2 Bi 0.499 0.069 0.721
3 Bi 0.927 0.743 0.538
4 Bi 0.501 0.931 0.279
5 Bi 0.999 0.721 0.069
6 Bi 0.427 0.538 0.743
7 Bi 0.001 0.279 0.931
8 Bi 0.073 0.257 0.462
9 Ca 0.750 0.396 0.604
10 Ca 0.463 0.755 0.986
11 Ca 0.963 0.986 0.755
12 Ca 0.037 0.014 0.245
13 Ca 0.537 0.245 0.014
14 Ca 0.250 0.604 0.396
15 Ga 0.920 0.402 0.183
16 Ga 0.080 0.598 0.817
17 Ga 0.580 0.817 0.598
18 Ga 0.420 0.183 0.402

Summary:
DFT formation energy ... -458.5 meV/atom
DOS(E_F) ... 1.5 states/eV/cell
Symmetry ... No. 15

# 4
First-principles (GGA-PBE) data for a relaxed structure of CaGa3Bi, as listed in Alexandria.

a = 5.524 Å, b = 5.524 Å, c = 5.524 Å
α = 90.00°, β = 90.00°, γ = 90.00°
Fractional positions:
1 Ca 0.500 0.500 0.500
2 Ga 0.000 0.500 0.000
3 Ga 0.000 0.000 0.500
4 Ga 0.500 0.000 0.000
5 Bi 0.000 0.000 0.000

Summary:
DFT formation energy ... 384.1 meV/atom
DOS(E_F) ... 3.0 states/eV/cell
Symmetry ... No. 221

# 5
First-principles (GGA-PBE) data for a relaxed structure of CaInGaBi, as listed in Alexandria.

a = 5.410 Å, b = 5.410 Å, c = 5.410 Å
α = 60.00°, β = 60.00°, γ = 60.00°
Fractional positions:
1 In 0.500 0.500 0.500
2 Ga 0.250 0.250 0.250
3 Ca 0.000 0.000 0.000
4 Bi 0.750 0.750 0.750

Summary:
DFT formation energy ... -216.0 meV/atom
DOS(E_F) ... 2.2 states/eV/cell
Symmetry ... No. 216

# 6
First-principles (GGA-PBE) data for a relaxed structure of CaInGaBi, as listed in Alexandria.

a = 4.644 Å, b = 4.701 Å, c = 4.932 Å
α = 90.00°, β = 90.00°, γ = 90.00°
Fractional positions:
1 Ca 0.500 0.500 0.000
2 Bi 0.000 0.000 0.000
3 Ga 0.000 0.500 0.500
4 In 0.500 0.000 0.500

Summary:
DFT formation energy ... -358.4 meV/atom
DOS(E_F) ... 1.0 states/eV/cell
Symmetry ... No. 47

# 7
First-principles (GGA-PBE) data for a relaxed structure of LiCaGaBi, as listed in Alexandria.

a = 5.227 Å, b = 5.227 Å, c = 5.227 Å
α = 60.00°, β = 60.00°, γ = 60.00°
Fractional positions:
1 Li 0.250 0.250 0.250
2 Bi 0.000 0.000 0.000
3 Ca 0.750 0.750 0.750
4 Ga 0.500 0.500 0.500

Summary:
DFT formation energy ... -398.8 meV/atom
DOS(E_F) ... 3.3 states/eV/cell
Symmetry ... No. 216

# 8
First-principles (GGA-PBE) data for a relaxed structure of CaMgGaBi, as listed in Alexandria.

a = 5.292 Å, b = 5.292 Å, c = 5.292 Å
α = 60.00°, β = 60.00°, γ = 60.00°
Fractional positions:
1 Ga 0.250 0.250 0.250
2 Bi 0.750 0.750 0.750
3 Mg 0.500 0.500 0.500
4 Ca 0.000 0.000 0.000

Summary:
DFT formation energy ... -312.5 meV/atom
DOS(E_F) ... 1.1 states/eV/cell
Symmetry ... No. 216

# 9
First-principles (GGA-PBE) data for a relaxed structure of CaMnGaBi2, as listed in Alexandria.

a = 5.743 Å, b = 4.819 Å, c = 5.743 Å
α = 90.00°, β = 90.00°, γ = 90.00°
Each line ends with the local moment (μB).
Fractional positions:
1 Mn 0.000 0.500 0.000  3.85
2 Bi 0.500 0.000 0.000  -0.06
3 Bi 0.000 0.000 0.500  -0.05
4 Ga 0.000 0.000 0.000  -0.09
5 Ca 0.500 0.500 0.500  0.00

Summary:
DFT formation energy ... 212.1 meV/atom
DOS(E_F) ... 3.3 states/eV/cell
Symmetry ... No. 123

# 10
First-principles (GGA-PBE) data for a relaxed structure of Ca2GaBiN, as listed in Alexandria.

a = 5.011 Å, b = 5.011 Å, c = 4.359 Å
α = 90.00°, β = 90.00°, γ = 90.00°
Fractional positions:
1 Ca 0.000 0.500 0.000
2 Ca 0.500 0.000 0.000
3 Ga 0.000 0.000 0.500
4 Bi 0.500 0.500 0.500
5 N 0.000 0.000 0.000

Summary:
Formation energy without anion corrections ... -631 meV per atom
DOS(E_F) ... 0.5 states/eV/cell
Symmetry ... No. 123

# 11
First-principles (GGA-PBE) data for a relaxed structure of NaCaGaBi, as listed in Alexandria.

a = 5.401 Å, b = 5.401 Å, c = 5.401 Å
α = 60.00°, β = 60.00°, γ = 60.00°
Fractional positions:
1 Ca 0.000 0.000 0.000
2 Ga 0.250 0.250 0.250
3 Bi 0.750 0.750 0.750
4 Na 0.500 0.500 0.500

Summary:
DFT formation energy ... -353.0 meV/atom
DOS(E_F) ... 3.3 states/eV/cell
Symmetry ... No. 216

# 12
First-principles (GGA-PBE) data for a relaxed structure of SrCaGaBiO6, as listed in Alexandria.

a = 5.750 Å, b = 5.750 Å, c = 5.750 Å
α = 60.00°, β = 60.00°, γ = 60.00°
Fractional positions:
1 O 0.258 0.742 0.258
2 O 0.258 0.742 0.742
3 O 0.258 0.258 0.742
4 O 0.742 0.258 0.258
5 O 0.742 0.258 0.742
6 O 0.742 0.742 0.258
7 Sr 0.750 0.750 0.750
8 Bi 0.000 0.000 0.000
9 Ca 0.250 0.250 0.250
10 Ga 0.500 0.500 0.500

Summary:
Formation energy without anion corrections ... -1858 meV per atom
DOS(E_F) ... 1.8 states/eV/cell
Symmetry ... No. 216